(1)
# Cs3Tl3OsO8 (PBE, optimized geometry)
# - electronic total energy (eV/atom) = -5.038
data_Cs3Tl3OsO8
_space_group_name_H-M_alt 'P 1'
_space_group_IT_number 1
_space_group_name_Hall 'P 1'
_cell_length_a 7.197
_cell_length_b 7.258
_cell_length_c 7.982
_cell_angle_alpha 116.85
_cell_angle_beta 90.00
_cell_angle_gamma 119.72
loop_
_atom_site_label
_atom_site_fract_x
_atom_site_fract_y
_atom_site_fract_z
_atom_site_occupancy
O1 0.180 0.361 0.658 1
O2 0.795 0.978 0.659 1
Tl1 0.000 0.500 0.500 1
Os1 0.000 0.000 0.500 1
Cs1 0.000 0.500 0.000 1
Tl2 0.500 0.000 0.500 1
O3 0.272 0.545 0.333 1
Cs2 0.500 0.500 0.000 1
Cs3 0.000 0.000 0.000 1
O4 0.817 0.022 0.341 1
O5 0.728 0.455 0.667 1
O6 0.205 0.022 0.341 1
O7 0.820 0.639 0.342 1
O8 0.183 0.978 0.659 1
Tl3 0.500 0.500 0.500 1

(2)
# Cs2Tl2OsO6 (PBE, optimized geometry)
# - electronic total energy (eV/atom) = -5.434
data_Cs2Tl2OsO6
_space_group_name_H-M_alt 'P 1'
_space_group_IT_number 1
_space_group_name_Hall 'P 1'
_cell_length_a 7.096
_cell_length_b 7.096
_cell_length_c 6.109
_cell_angle_alpha 96.91
_cell_angle_beta 96.91
_cell_angle_gamma 118.89
loop_
_atom_site_label
_atom_site_fract_x
_atom_site_fract_y
_atom_site_fract_z
_atom_site_occupancy
O1 0.953 0.736 0.336 1
Tl1 0.858 0.142 0.000 1
O2 0.153 0.153 0.274 1
O3 0.847 0.847 0.726 1
O4 0.736 0.953 0.336 1
Cs1 0.658 0.342 0.500 1
O5 0.264 0.047 0.664 1
Cs2 0.342 0.658 0.500 1
O6 0.047 0.264 0.664 1
Tl2 0.142 0.858 0.000 1
Os1 0.000 0.000 0.500 1

(3)
# CsTmOsO6 (PBE, optimized geometry)
# - electronic total energy (eV/atom) = -6.961
data_CsTmOsO6
_space_group_name_H-M_alt 'P 1'
_space_group_IT_number 1
_space_group_name_Hall 'P 1'
_cell_length_a 5.604
_cell_length_b 5.604
_cell_length_c 6.550
_cell_angle_alpha 90.00
_cell_angle_beta 90.00
_cell_angle_gamma 60.00
loop_
_atom_site_label
_atom_site_fract_x
_atom_site_fract_y
_atom_site_fract_z
_atom_site_occupancy
O1 0.372 0.044 0.668 1
O2 0.044 0.584 0.668 1
O3 0.584 0.044 0.332 1
Cs1 0.000 0.000 0.000 1
Os1 0.333 0.333 0.500 1
O4 0.584 0.372 0.668 1
O5 0.044 0.372 0.332 1
O6 0.372 0.584 0.332 1
Tm1 0.667 0.667 0.500 1

(4)
# Cs2TmOsO6 (PBE, optimized geometry)
# - electronic total energy (eV/atom) = -6.496
data_Cs2TmOsO6
_space_group_name_H-M_alt 'P 1'
_space_group_IT_number 1
_space_group_name_Hall 'P 1'
_cell_length_a 5.664
_cell_length_b 6.666
_cell_length_c 6.666
_cell_angle_alpha 120.00
_cell_angle_beta 90.00
_cell_angle_gamma 90.00
loop_
_atom_site_label
_atom_site_fract_x
_atom_site_fract_y
_atom_site_fract_z
_atom_site_occupancy
Tm1 0.500 0.000 0.000 1
O1 0.792 0.737 0.868 1
O2 0.208 0.868 0.132 1
Os1 0.000 0.000 0.000 1
O3 0.208 0.868 0.737 1
O4 0.792 0.132 0.263 1
O5 0.208 0.263 0.132 1
Cs1 0.158 0.333 0.667 1
O6 0.792 0.132 0.868 1
Cs2 0.842 0.667 0.333 1

(5)
# CsTm2OsO8 (PBE, optimized geometry)
# - electronic total energy (eV/atom) = -7.035
data_CsTm2OsO8
_space_group_name_H-M_alt 'P 1'
_space_group_IT_number 1
_space_group_name_Hall 'P 1'
_cell_length_a 4.931
_cell_length_b 4.932
_cell_length_c 7.685
_cell_angle_alpha 89.94
_cell_angle_beta 89.94
_cell_angle_gamma 90.54
loop_
_atom_site_label
_atom_site_fract_x
_atom_site_fract_y
_atom_site_fract_z
_atom_site_occupancy
O1 0.810 0.189 0.172 1
Cs1 0.000 0.000 0.500 1
O2 0.714 0.714 0.999 1
O3 0.189 0.810 0.172 1
O4 0.609 0.609 0.500 1
O5 0.286 0.286 0.001 1
O6 0.190 0.811 0.828 1
Os1 0.000 0.000 0.000 1
O7 0.811 0.190 0.828 1
O8 0.391 0.391 0.500 1
Tm1 0.500 0.500 0.785 1
Tm2 0.500 0.500 0.215 1

(6)
# Cs2U3OsO12 (PBE, optimized geometry)
# - electronic total energy (eV/atom) = -8.490
data_Cs2U3OsO12
_space_group_name_H-M_alt 'P 1'
_space_group_IT_number 1
_space_group_name_Hall 'P 1'
_cell_length_a 7.651
_cell_length_b 7.651
_cell_length_c 7.651
_cell_angle_alpha 62.44
_cell_angle_beta 62.44
_cell_angle_gamma 62.44
loop_
_atom_site_label
_atom_site_fract_x
_atom_site_fract_y
_atom_site_fract_z
_atom_site_occupancy
O1 0.680 0.680 0.061 1
O2 0.056 0.056 0.703 1
U1 0.000 0.000 0.500 1
Os1 0.000 0.000 0.000 1
O3 0.061 0.680 0.680 1
O4 0.944 0.944 0.297 1
O5 0.680 0.061 0.680 1
U2 0.000 0.500 0.000 1
Cs1 0.373 0.373 0.373 1
U3 0.500 0.000 0.000 1
O6 0.320 0.320 0.939 1
O7 0.939 0.320 0.320 1
O8 0.320 0.939 0.320 1
O9 0.297 0.944 0.944 1
O10 0.944 0.297 0.944 1
Cs2 0.627 0.627 0.627 1
O11 0.056 0.703 0.056 1
O12 0.703 0.056 0.056 1

(7)
# Cs2UOsO6 (PBE, optimized geometry)
# - electronic total energy (eV/atom) = -7.443
data_Cs2UOsO6
_space_group_name_H-M_alt 'P 1'
_space_group_IT_number 1
_space_group_name_Hall 'P 1'
_cell_length_a 5.833
_cell_length_b 5.833
_cell_length_c 7.262
_cell_angle_alpha 66.31
_cell_angle_beta 66.31
_cell_angle_gamma 90.00
loop_
_atom_site_label
_atom_site_fract_x
_atom_site_fract_y
_atom_site_fract_z
_atom_site_occupancy
Cs1 0.250 0.750 0.500 1
O1 0.159 0.159 0.682 1
U1 0.000 0.000 0.000 1
O2 0.272 0.272 0.000 1
O3 0.728 0.272 0.000 1
Cs2 0.750 0.250 0.500 1
Os1 0.500 0.500 0.000 1
O4 0.728 0.728 0.000 1
O5 0.841 0.841 0.318 1
O6 0.272 0.728 0.000 1